Record 1
First-principles (PBE-GGA) data for a relaxed structure of Ce5TlOs, as listed in Alexandria.

Calculated values
The calculation puts the raw total energy at -6.227 eV per atom. For the formation energy, the calculation gives -31 kJ/mol of formula units. The total moment is 4.75 Bohr magnetons per cell. Its space-group type is C2/c. As for the volume: 26.704 Å³ per atom.

```
Ce5TlOs
1.0
5.3386 -3.4410 0.0000
5.3386 3.4410 0.0000
-4.4686 0.0000 10.1758
Ce Tl Os
10 2 2
direct
0.0083 0.5606 0.3496
0.0451 0.9549 0.7500
0.1900 0.5010 0.9294
0.4394 0.9917 0.1504
0.4990 0.8100 0.5706
0.5010 0.1900 0.4294
0.5606 0.0083 0.8496
0.8100 0.4990 0.0706
0.9549 0.0451 0.2500
0.9917 0.4394 0.6504
0.4547 0.5453 0.2500
0.5453 0.4547 0.7500
0.0000 0.0000 0.0000
0.0000 0.0000 0.5000
```


Record 2
First-principles (PBE-GGA) data for a relaxed structure of HoTcOs, as listed in Alexandria.

Calculated values
The calculation puts the raw total energy at -8.909 eV per atom. For the formation energy, the calculation gives -53 kJ/mol of formula units. The total moment is 0.00 Bohr magnetons per cell. Its space-group type is C2/m. As for the volume: 19.262 Å³ per atom.

```
HoTcOs
1.0
5.0702 -2.1868 0.0000
5.0702 2.1868 0.0000
-4.7653 0.0000 5.2119
Ho Tc Os
2 2 2
direct
0.0650 0.0650 0.3155
0.9350 0.9350 0.6845
0.3394 0.3394 0.9268
0.6606 0.6606 0.0732
0.3347 0.3347 0.2703
0.6653 0.6653 0.7297
```


Record 3
First-principles (PBE-GGA) data for a relaxed structure of KTlAg2Pd2, as listed in Alexandria.

Calculated values
The calculation puts the raw total energy at -3.064 eV per atom. For the formation energy, the calculation gives 113 kJ/mol of formula units. The total moment is 0.00 Bohr magnetons per cell. Its space-group type is P4/mmm. As for the volume: 28.000 Å³ per atom.

```
KTlAg2Pd2
1.0
5.1410 0.0000 0.0000
0.0000 5.1410 0.0000
0.0000 0.0000 6.3565
K Tl Ag Pd
1 1 2 2
direct
0.0000 0.0000 0.0000
0.0000 0.0000 0.5000
0.5000 0.5000 0.2784
0.5000 0.5000 0.7216
0.0000 0.5000 0.5000
0.5000 0.0000 0.5000
```


Record 4
First-principles (PBE-GGA) data for a relaxed structure of HfAl2TlCr, as listed in Alexandria.

Calculated values
The calculation puts the raw total energy at -5.477 eV per atom. For the formation energy, the calculation gives 197 kJ/mol of formula units. The total moment is 0.00 Bohr magnetons per cell. Its space-group type is P4/mmm. As for the volume: 21.627 Å³ per atom.

```
HfAl2TlCr
1.0
4.8074 0.0000 0.0000
0.0000 4.8074 0.0000
0.0000 0.0000 4.6790
Hf Al Tl Cr
1 2 1 1
direct
0.0000 0.0000 0.0000
0.0000 0.5000 0.5000
0.5000 0.0000 0.5000
0.5000 0.5000 0.0000
0.0000 0.0000 0.5000
```


Record 5
First-principles (PBE-GGA) data for a relaxed structure of CaAlIr4, as listed in Alexandria.

Calculated values
The calculation puts the raw total energy at -7.049 eV per atom. For the formation energy, the calculation gives -107 kJ/mol of formula units. The total moment is 0.00 Bohr magnetons per cell. Its space-group type is F-43m. As for the volume: 17.141 Å³ per atom.

```
CaAlIr4
1.0
0.0000 3.7187 3.7187
3.7187 0.0000 3.7187
3.7187 3.7187 0.0000
Ca Al Ir
1 1 4
direct
0.0000 0.0000 0.0000
0.2500 0.2500 0.2500
0.1257 0.6248 0.6248
0.6248 0.1257 0.6248
0.6248 0.6248 0.1257
0.6248 0.6248 0.6248
```


Record 6
First-principles (PBE-GGA) data for a relaxed structure of TlAgGe2Br6, as listed in Alexandria.

Calculated values
The calculation puts the raw total energy at -2.991 eV per atom. The value obtained for the uncorrected formation energy is -542 meV/atom. The total moment is 0.00 Bohr magnetons per cell. Its space-group type is C2/c. As for the volume: 42.246 Å³ per atom.

```
TlAgGe2Br6
1.0
6.0181 -8.1237 0.0000
6.0181 8.1237 0.0000
-5.4664 0.0000 8.6413
Tl Ag Ge Br
2 2 4 12
direct
0.0618 0.9382 0.7500
0.9382 0.0618 0.2500
0.2247 0.7753 0.2500
0.7753 0.2247 0.7500
0.2744 0.4334 0.8204
0.4334 0.2744 0.3204
0.5666 0.7256 0.6796
0.7256 0.5666 0.1796
0.0017 0.8034 0.3591
0.1729 0.6004 0.9618
0.1966 0.9983 0.1409
0.3119 0.3583 0.4928
0.3583 0.3119 0.9928
0.3996 0.8271 0.5382
0.6004 0.1729 0.4618
0.6417 0.6881 0.0072
0.6881 0.6417 0.5072
0.8034 0.0017 0.8591
0.8271 0.3996 0.0382
0.9983 0.1966 0.6409
```


Record 7
First-principles (PBE-GGA) data for a relaxed structure of CuPt2Rh, as listed in Alexandria.

Calculated values
The calculation puts the raw total energy at -5.948 eV per atom. For the formation energy, the calculation gives -25 kJ/mol of formula units. The total moment is 0.00 Bohr magnetons per cell. Its space-group type is Pmmm. As for the volume: 14.518 Å³ per atom.

```
CuPt2Rh
1.0
2.7556 0.0000 0.0000
0.0000 3.8636 0.0000
0.0000 0.0000 5.4544
Cu Pt Rh
1 2 1
direct
0.0000 0.0000 0.0000
0.5000 0.5000 0.2473
0.5000 0.5000 0.7527
0.0000 0.0000 0.5000
```


Record 8
First-principles (PBE-GGA) data for a relaxed structure of LiHgSb2, as listed in Alexandria.

Calculated values
The calculation puts the raw total energy at -2.621 eV per atom. The value obtained for the uncorrected formation energy is -5 meV/atom. The total moment is 0.00 Bohr magnetons per cell. Its space-group type is I-42d. As for the volume: 25.964 Å³ per atom.

```
LiHgSb2
1.0
-4.1119 4.1119 3.0713
4.1119 -4.1119 3.0713
4.1119 4.1119 -3.0713
Li Hg Sb
2 2 4
direct
0.0000 0.0000 0.0000
0.7500 0.2500 0.5000
0.2500 0.7500 0.5000
0.5000 0.5000 0.0000
0.1443 0.1250 0.5193
0.3750 0.8557 0.9807
0.6057 0.6250 0.4807
0.8750 0.3943 0.0193
```


Among the records above, which one has the lowest raw total energy? HoTcOs


Which value of volume does entry 6 give? 42.246 Å³ per atom